DFT (PBE) results for a relaxed Ho3In4CuTe8 crystal.

Values from the calculation:
formation energy (no corrections)	-0.698	eV/atom
total moment	0.000	Bohr magnetons per cell

Geometry as CIF:
```
data_Ho3In4CuTe8
_symmetry_space_group_name_H-M 'C 1 2/m 1'
_symmetry_Int_Tables_number 12
_symmetry_space_group_name_Hall '-C 2y'
_cell_length_a 15.1372
_cell_length_b 8.7360
_cell_length_c 9.1876
_cell_angle_alpha 90.00
_cell_angle_beta 123.32
_cell_angle_gamma 90.00
loop_
_atom_site_label
_atom_site_type_symbol
_atom_site_fract_x
_atom_site_fract_y
_atom_site_fract_z
Ho1 Ho 0.0000 0.0000 0.0000
Ho2 Ho 0.2500 0.2500 0.0000
In1 In 0.0000 0.0000 0.5000
In2 In 0.0000 0.5000 0.5000
In3 In 0.2500 0.2500 0.5000
Cu1 Cu 0.0000 0.5000 0.0000
Te1 Te 0.0071 0.2580 0.7791
Te2 Te 0.2368 0.5000 0.2225
Te3 Te 0.2426 0.0000 0.2280
```